(1)
The following is a PBE calculation of a relaxed BaTlI2O crystal, from Alexandria via LeMat-Bulk.

```
BaTlI2O
1.0
-4.140 -1.541 -5.328
3.871 -5.565 -1.399
-2.620 -2.517 2.764
O I Ba Tl
1 2 1 1
direct
0.000 0.000 0.500
0.500 0.000 0.000
0.000 0.500 0.000
0.000 0.000 0.000
0.500 0.500 0.500
```

Summary:
Symmetry   P4/mmm
Energy relative to the lowest polymorph listed for this composition   0 meV/atom



(2)
The following is a PBE calculation of a relaxed Ba2TlIO6 crystal, from Alexandria via LeMat-Bulk.

```
Ba2TlIO6
1.0
-0.207 5.582 -2.869
-3.499 0.750 -5.160
-5.237 3.458 0.233
I O Ba Tl
1 6 2 1
direct
0.000 0.000 0.000
0.217 0.783 0.783
0.217 0.783 0.217
0.783 0.217 0.783
0.783 0.783 0.217
0.217 0.217 0.783
0.783 0.217 0.217
0.750 0.750 0.750
0.250 0.250 0.250
0.500 0.500 0.500
```

Summary:
Symmetry   Fm-3m



(3)
The following is a PBE calculation of a relaxed BaTlI2O8 crystal, from Alexandria via LeMat-Bulk.

```
BaTlI2O8
1.0
5.691 0.000 0.000
2.846 4.929 0.000
2.846 1.643 7.275
O I Tl Ba
8 2 1 1
direct
0.926 0.617 0.184
0.383 0.727 0.816
0.273 0.926 0.184
0.727 0.074 0.816
0.188 0.188 0.436
0.074 0.383 0.816
0.617 0.273 0.184
0.812 0.812 0.564
0.271 0.271 0.188
0.729 0.729 0.812
0.000 0.000 0.000
0.500 0.500 0.500
```

Summary:
Symmetry   R-3



(4)
The following is a PBE calculation of a relaxed BaUIO6 crystal, from Alexandria via LeMat-Bulk.

```
BaUIO6
1.0
-5.440 -1.000 -1.660
2.151 -2.706 4.627
-3.607 8.544 6.674
O I U Ba
12 2 2 2
direct
0.378 0.007 0.650
0.007 0.629 0.350
0.622 0.993 0.350
0.993 0.371 0.650
0.371 0.993 0.150
0.629 0.007 0.850
0.371 0.378 0.350
0.993 0.622 0.850
0.629 0.622 0.650
0.007 0.378 0.150
0.622 0.629 0.150
0.378 0.371 0.850
0.333 0.667 0.250
0.667 0.333 0.750
0.667 0.333 0.250
0.333 0.667 0.750
0.000 0.000 0.500
0.000 0.000 0.000
```

Summary:
Symmetry   P-31c



Asked for energy relative to the elements, uncorrected across the records above, the calculation gives -0.980; -1.489; -0.708; -2.041 eV per atom in order.